{"formula": "HfAsO4F2", "functional": "PBE-GGA", "state": "optimized geometry", "lattice_angstrom": [[-0.5957, -3.9678, -3.0443], [-0.9213, -4.3142, 5.8031], [-5.3813, 0.9319, -0.1616]], "species": ["O", "O", "O", "O", "O", "O", "O", "O", "As", "As", "F", "F", "F", "F", "Hf", "Hf"], "frac_coords": [[0.8865, 0.8543, 0.0000], [0.3865, 0.1457, 0.5000], [0.3632, 0.0773, 0.0000], [0.4168, 0.8021, 0.2550], [0.4168, 0.8021, 0.7450], [0.8632, 0.9227, 0.5000], [0.9168, 0.1979, 0.7550], [0.9168, 0.1979, 0.2450], [0.5215, 0.9330, 0.5000], [0.0215, 0.0670, 0.0000], [0.8890, 0.5426, 0.2636], [0.3890, 0.4574, 0.2364], [0.3890, 0.4574, 0.7636], [0.8890, 0.5426, 0.7364], [0.6172, 0.6404, 0.0000], [0.1172, 0.3596, 0.5000]], "spacegroup": "Pmn2_1", "raw_formation_energy_ev_per_atom": -2.102, "energy_ev_per_cell": -110.0}